Record 1
First-principles (GGA-PBE) data for a relaxed TePIrPt crystal, as listed in Alexandria via LeMat-Bulk.

Summary:
- formation energy without anion corrections (eV per atom) = -0.302
- total magnetic moment (μB per cell) = 0.00
- total DFT energy (no corrections) (eV per atom) = -6.166
- excess energy over the best structure of this formula in the dataset (meV per atom) = 0.0

Cell and atoms, written as CIF:
```
data_TePIrPt
_cell_length_a 3.540
_cell_length_b 4.134
_cell_length_c 6.392
_cell_angle_alpha 102.48
_cell_angle_beta 90.01
_cell_angle_gamma 114.81
_symmetry_space_group_name_H-M 'P 1'
_symmetry_Int_Tables_number 1
loop_
_symmetry_equiv_pos_as_xyz
'x,y,z'
loop_
_atom_site_label
_atom_site_type_symbol
_atom_site_fract_x
_atom_site_fract_y
_atom_site_fract_z
_atom_site_occupancy
Ir1 Ir 0.433 0.469 0.399 1
P1 P 0.111 0.832 0.351 1
Te1 Te 0.533 0.674 0.819 1
Pt1 Pt 0.891 0.387 0.035 1
```

Record 2
First-principles (GGA-PBE) data for a relaxed Cd2PdO2 crystal, as listed in Alexandria via LeMat-Bulk.

Summary:
- formation energy without anion corrections (eV per atom) = -0.555
- total magnetic moment (μB per cell) = 0.00
- total DFT energy (no corrections) (eV per atom) = -3.943
- excess energy over the best structure of this formula in the dataset (meV per atom) = 0.0

Cell and atoms, written as CIF:
```
data_Cd2PdO2
_cell_length_a 4.648
_cell_length_b 4.648
_cell_length_c 5.113
_cell_angle_alpha 62.97
_cell_angle_beta 62.97
_cell_angle_gamma 90.00
_symmetry_space_group_name_H-M 'P 1'
_symmetry_Int_Tables_number 1
loop_
_symmetry_equiv_pos_as_xyz
'x,y,z'
loop_
_atom_site_label
_atom_site_type_symbol
_atom_site_fract_x
_atom_site_fract_y
_atom_site_fract_z
_atom_site_occupancy
Cd1 Cd 0.250 0.750 0.500 1
Pd1 Pd 0.000 0.000 0.000 1
O1 O 0.265 0.265 0.470 1
Cd2 Cd 0.750 0.250 0.500 1
O2 O 0.735 0.735 0.530 1
```

Record 3
First-principles (GGA-PBE) data for a relaxed AlTe2Br crystal, as listed in Alexandria via LeMat-Bulk.

Summary:
- formation energy without anion corrections (eV per atom) = 0.020
- total magnetic moment (μB per cell) = 0.00
- total DFT energy (no corrections) (eV per atom) = -2.905
- excess energy over the best structure of this formula in the dataset (meV per atom) = 397.1

Cell and atoms, written as CIF:
```
data_AlTe2Br
_cell_length_a 3.443
_cell_length_b 3.443
_cell_length_c 10.634
_cell_angle_alpha 90.00
_cell_angle_beta 90.00
_cell_angle_gamma 113.10
_symmetry_space_group_name_H-M 'P 1'
_symmetry_Int_Tables_number 1
loop_
_symmetry_equiv_pos_as_xyz
'x,y,z'
loop_
_atom_site_label
_atom_site_type_symbol
_atom_site_fract_x
_atom_site_fract_y
_atom_site_fract_z
_atom_site_occupancy
Al1 Al 0.000 0.000 0.498 1
Te1 Te 0.500 0.500 0.318 1
Br1 Br 0.500 0.500 0.669 1
Te2 Te 0.000 0.000 0.014 1
```

Record 4
First-principles (GGA-PBE) data for a relaxed Ta2BeTl crystal, as listed in Alexandria via LeMat-Bulk.

Summary:
- total magnetic moment (μB per cell) = 0.00
- total DFT energy (no corrections) (eV per atom) = -6.928
- excess energy over the best structure of this formula in the dataset (meV per atom) = 218.3
- E_form (eV per atom) = 0.5217

Cell and atoms, written as CIF:
```
data_Ta2BeTl
_cell_length_a 6.079
_cell_length_b 5.173
_cell_length_c 2.891
_cell_angle_alpha 87.42
_cell_angle_beta 66.49
_cell_angle_gamma 118.43
_symmetry_space_group_name_H-M 'P 1'
_symmetry_Int_Tables_number 1
loop_
_symmetry_equiv_pos_as_xyz
'x,y,z'
loop_
_atom_site_label
_atom_site_type_symbol
_atom_site_fract_x
_atom_site_fract_y
_atom_site_fract_z
_atom_site_occupancy
Tl1 Tl 0.000 0.500 0.500 1
Ta1 Ta 0.000 0.000 0.000 1
Ta2 Ta 0.500 0.000 0.500 1
Be1 Be 0.500 0.500 0.000 1
```